Below is an optimized crystal structure of TlW, with properties calculated at the PBE level.

```
8
Lattice="6.270 0.000 0.000 0.000 6.270 0.000 0.000 0.000 6.270" Properties=species:S:1:pos:R:3 pbc="T T T"
W 1.567 4.702 4.702
Tl 3.135 0.000 3.135
W 1.567 1.567 1.567
Tl 3.135 3.135 0.000
Tl 0.000 0.000 0.000
W 4.702 4.702 1.567
Tl 0.000 3.135 3.135
W 4.702 1.567 4.702
```

Summary:
E_form = 2.847 eV per atom
Energy above the most stable polymorph in this dataset = 2.223 eV/atom
VASP energy = -0.177 hartree per atom